i) A plane-wave DFT calculation with meta-GGA SCAN was carried out for SrPrScO4 at its PBEsol-relaxed geometry.

Output
DOS(E_F) in states/eV/f.u.: 0.000

Unit cell a=5.6192 b=5.8302 c=6.7492 alpha=90.00 beta=114.60 gamma=90.00
Atoms (fractional coordinates):
O  0.9286  0.0864  0.8572
Sc  0.7474  0.9962  0.4947
Sr  0.3954  0.0137  0.7907
Pr  0.8911  0.4843  0.7822
O  0.0177  0.7419  0.5455
O  0.4721  0.2419  0.4545
Pr  0.1089  0.9843  0.2178
O  0.4166  0.4357  0.8332
Sc  0.2526  0.4962  0.5053
O  0.0714  0.5864  0.1428
O  0.5834  0.9357  0.1668
O  0.9823  0.2419  0.4545
O  0.5279  0.7419  0.5455
Sr  0.6046  0.5137  0.2093

ii) A plane-wave DFT calculation with meta-GGA SCAN was carried out for SrPrScO4 at its PBEsol-relaxed geometry.

Output
DOS(E_F) in states/eV/f.u.: 0.000

Unit cell a=3.9863 b=3.9863 c=6.8574 alpha=106.90 beta=106.90 gamma=90.00
Atoms (fractional coordinates):
O  0.5104  0.0104  0.0208
O  0.8244  0.8244  0.6488
O  0.0104  0.5104  0.0208
Pr  0.6385  0.6385  0.2769
Sc  0.9941  0.9941  0.9883
Sr  0.3535  0.3535  0.7070
O  0.1687  0.1687  0.3375

The most stable of them is i).

i) A plane-wave DFT calculation with meta-GGA SCAN was carried out for Sb2TePtO at its PBEsol-relaxed geometry.

Output
DOS(E_F) in states/eV/f.u.: 3.345

Unit cell a=4.6037 b=4.6037 c=4.7483 alpha=90.00 beta=90.00 gamma=90.00
Atoms (fractional coordinates):
Sb  0.5000  0.0000  0.0000
O  0.0000  0.0000  0.0000
Pt  0.5000  0.5000  0.5000
Sb  0.0000  0.5000  0.0000
Te  0.0000  0.0000  0.5000

ii) A plane-wave DFT calculation with meta-GGA SCAN was carried out for Sb2TePtO at its PBEsol-relaxed geometry.

Output
DOS(E_F) in states/eV/f.u.: 3.472

Unit cell a=5.1271 b=5.1271 c=5.3554 alpha=90.00 beta=90.00 gamma=90.00
Each line ends with the local moment (μB).
Atoms (fractional coordinates):
O  0.5000  0.5000  0.5000  1.21
Sb  0.0000  0.5000  0.0000  0.05
Pt  0.0000  0.0000  0.0000  0.07
Sb  0.5000  0.0000  0.0000  0.05
Te  0.0000  0.0000  0.5000  0.38

The most stable of them is i).

i) A plane-wave DFT calculation with meta-GGA SCAN was carried out for TlPt3O at its PBEsol-relaxed geometry.

Output
DOS(E_F) in states/eV/f.u.: 4.105

Unit cell a=4.2975 b=4.2975 c=4.2975 alpha=90.00 beta=90.00 gamma=90.00
Atoms (fractional coordinates):
Pt  0.5000  0.0000  0.0000
Pt  0.0000  0.5000  0.0000
Pt  0.0000  0.0000  0.5000
Tl  0.5000  0.5000  0.5000
O  0.0000  0.0000  0.0000

ii) A plane-wave DFT calculation with meta-GGA SCAN was carried out for TlPt3O at its PBEsol-relaxed geometry.

Output
DOS(E_F) in states/eV/f.u.: 4.887

Unit cell a=5.0090 b=5.0090 c=5.0090 alpha=90.00 beta=90.00 gamma=90.00
Each line ends with the local moment (μB).
Atoms (fractional coordinates):
Tl  0.0000  0.0000  0.0000  -0.02
O  0.5000  0.5000  0.5000  1.48
Pt  0.0000  0.5000  0.0000  0.12
Pt  0.0000  0.0000  0.5000  0.12
Pt  0.5000  0.0000  0.0000  0.12

The most stable of them is i).

i) A plane-wave DFT calculation with meta-GGA SCAN was carried out for PtWO2 at its PBEsol-relaxed geometry.

Output
DOS(E_F) in states/eV/f.u.: 2.674

Unit cell a=3.9358 b=3.9358 c=3.9358 alpha=60.00 beta=60.00 gamma=60.00
Atoms (fractional coordinates):
W  0.0000  0.0000  0.0000
Pt  0.5000  0.5000  0.5000
O  0.2500  0.2500  0.2500
O  0.7500  0.7500  0.7500

ii) A plane-wave DFT calculation with meta-GGA SCAN was carried out for PtWO2 at its PBEsol-relaxed geometry.

Output
DOS(E_F) in states/eV/f.u.: 3.606

Unit cell a=2.8471 b=2.8471 c=7.3689 alpha=78.86 beta=78.86 gamma=60.00
Atoms (fractional coordinates):
W  0.0000  0.0000  0.0000
O  0.0853  0.0853  0.7441
O  0.9147  0.9147  0.2559
Pt  0.5000  0.5000  0.5000

The most stable of them is ii).

i) A plane-wave DFT calculation with meta-GGA SCAN was carried out for ReRhO2 at its PBEsol-relaxed geometry.

Output
DOS(E_F) in states/eV/f.u.: 2.162

Unit cell a=2.8519 b=2.8519 c=6.5917 alpha=77.51 beta=77.51 gamma=60.00
Atoms (fractional coordinates):
O  0.1037  0.1037  0.6889
Rh  0.5000  0.5000  0.5000
Re  0.0000  0.0000  0.0000
O  0.8963  0.8963  0.3111

ii) A plane-wave DFT calculation with meta-GGA SCAN was carried out for ReRhO2 at its PBEsol-relaxed geometry.

Output
DOS(E_F) in states/eV/f.u.: 3.696

Unit cell a=3.8569 b=3.8569 c=3.8569 alpha=60.00 beta=60.00 gamma=60.00
Atoms (fractional coordinates):
O  0.2500  0.2500  0.2500
Rh  0.0000  0.0000  0.0000
O  0.7500  0.7500  0.7500
Re  0.5000  0.5000  0.5000

The most stable of them is i).

i) A plane-wave DFT calculation with meta-GGA SCAN was carried out for Re2S2O13 at its PBEsol-relaxed geometry.

Output
DOS(E_F) in states/eV/f.u.: 0.000

Unit cell a=7.1823 b=7.5606 c=17.0917 alpha=90.00 beta=90.00 gamma=90.00
Atoms (fractional coordinates):
Re  0.1545  0.2561  0.1007
O  0.5030  0.1555  0.8200
O  0.8906  0.2444  0.4647
O  0.8976  0.5290  0.8786
O  0.8596  0.7737  0.3516
O  0.7933  0.1279  0.7500
Re  0.1545  0.2561  0.3993
Re  0.6545  0.7439  0.1007
O  0.8906  0.2444  0.0353
O  0.1094  0.7556  0.5353
O  0.7500  0.7034  0.0000
O  0.3759  0.5846  0.2500
S  0.3752  0.7740  0.2500
S  0.1248  0.7740  0.7500
S  0.2500  0.8727  0.0000
O  0.1404  0.2263  0.8516
O  0.6094  0.2444  0.5353
S  0.8752  0.2260  0.2500
O  0.3596  0.2263  0.3516
O  0.2067  0.8721  0.2500
Re  0.3455  0.2561  0.6007
O  0.3976  0.4710  0.6214
O  0.6024  0.5290  0.1214
O  0.1024  0.4710  0.1214
O  0.7067  0.1279  0.2500
Re  0.8455  0.7439  0.6007
S  0.2500  0.8727  0.5000
O  0.6600  0.0151  0.4394
O  0.6024  0.5290  0.3786
O  0.2500  0.2966  0.0000
O  0.2500  0.2966  0.5000
O  0.8400  0.0151  0.9394
S  0.7500  0.1273  0.0000
O  0.6094  0.2444  0.9647
Re  0.8455  0.7439  0.8993
S  0.7500  0.1273  0.5000
O  0.3976  0.4710  0.8786
O  0.2933  0.8721  0.7500
O  0.3400  0.9849  0.5606
O  0.0030  0.8445  0.8200
O  0.3906  0.7556  0.0353
O  0.8400  0.0151  0.5606
O  0.9970  0.1555  0.3200
O  0.7500  0.7034  0.5000
O  0.9970  0.1555  0.1800
O  0.0030  0.8445  0.6800
O  0.8976  0.5290  0.6214
O  0.3906  0.7556  0.4647
O  0.4970  0.8445  0.3200
O  0.3596  0.2263  0.1484
O  0.6404  0.7737  0.8516
O  0.1600  0.9849  0.0606
O  0.1241  0.5846  0.7500
O  0.8759  0.4154  0.2500
O  0.8596  0.7737  0.1484
O  0.6600  0.0151  0.0606
O  0.6241  0.4154  0.7500
O  0.6404  0.7737  0.6484
O  0.4970  0.8445  0.1800
O  0.5030  0.1555  0.6800
Re  0.6545  0.7439  0.3993
Re  0.3455  0.2561  0.8993
O  0.1094  0.7556  0.9647
O  0.3400  0.9849  0.9394
O  0.1600  0.9849  0.4394
S  0.6248  0.2260  0.7500
O  0.1404  0.2263  0.6484
O  0.1024  0.4710  0.3786

ii) A plane-wave DFT calculation with meta-GGA SCAN was carried out for Re2S2O13 at its PBEsol-relaxed geometry.

Output
DOS(E_F) in states/eV/f.u.: 0.000

Unit cell a=6.1553 b=8.4848 c=9.6785 alpha=90.00 beta=90.00 gamma=90.00
Atoms (fractional coordinates):
O  0.5055  0.1831  0.3048
O  0.7739  0.3020  0.5494
O  0.5055  0.8169  0.6952
O  0.8632  0.3913  0.2602
O  0.8632  0.6087  0.7398
O  0.8938  0.5000  0.0000
O  0.1696  0.7304  0.0674
O  0.7739  0.1980  0.0494
S  0.2863  0.8627  0.6750
O  0.2591  0.9659  0.3510
O  0.2591  0.4659  0.1490
O  0.1523  0.3364  0.6891
O  0.2591  0.0341  0.6490
O  0.8938  0.0000  0.5000
O  0.1523  0.6636  0.3109
O  0.1523  0.1636  0.1891
O  0.8632  0.8913  0.2398
S  0.2863  0.6373  0.1750
Re  0.9683  0.8238  0.3915
O  0.8632  0.1087  0.7602
O  0.2591  0.5341  0.8510
O  0.7739  0.8020  0.9506
O  0.1696  0.2304  0.4326
O  0.1523  0.8364  0.8109
O  0.5055  0.6831  0.1952
O  0.1696  0.7696  0.5674
Re  0.9683  0.6762  0.8915
O  0.7739  0.6980  0.4506
Re  0.9683  0.3238  0.1085
O  0.5055  0.3169  0.8048
S  0.2863  0.1373  0.3250
O  0.1696  0.2696  0.9326
S  0.2863  0.3627  0.8250
Re  0.9683  0.1762  0.6085

The most stable of them is ii).

i) A plane-wave DFT calculation with meta-GGA SCAN was carried out for Y7ReO14 at its PBEsol-relaxed geometry.

Unit cell a=7.3988 b=7.3988 c=7.5885 alpha=60.82 beta=60.82 gamma=60.00
Atoms (fractional coordinates):
O  0.8633  0.8633  0.4100
O  0.1367  0.1367  0.5900
O  0.8007  0.4284  0.3425
Y  0.5000  0.5000  0.0000
Y  0.0000  0.0000  0.0000
O  0.8655  0.4015  0.8675
O  0.4015  0.8655  0.8675
Y  0.0000  0.0000  0.5000
Y  0.0000  0.5000  0.5000
O  0.5716  0.5716  0.6575
O  0.5985  0.1345  0.1325
Y  0.5000  0.0000  0.5000
O  0.1993  0.5716  0.6575
O  0.5716  0.1993  0.6575
Y  0.5000  0.0000  0.0000
O  0.4284  0.8007  0.3425
O  0.1345  0.1345  0.1325
Y  0.0000  0.5000  0.0000
Re  0.5000  0.5000  0.5000
O  0.4284  0.4284  0.3425
O  0.8655  0.8655  0.8675
O  0.1345  0.5985  0.1325

ii) A plane-wave DFT calculation with meta-GGA SCAN was carried out for Y7ReO14 at its PBEsol-relaxed geometry.

Unit cell a=7.4526 b=7.5038 c=10.5122 alpha=90.00 beta=90.00 gamma=90.00
Atoms (fractional coordinates):
Y  0.2675  0.7384  0.7649
Y  0.0000  0.5000  0.0000
Y  0.7675  0.7616  0.2649
O  0.2694  0.9918  0.1343
O  0.5000  0.2741  0.0828
O  0.5000  0.7259  0.9172
Re  0.0000  0.0000  0.5000
Y  0.7325  0.2616  0.2351
Y  0.2675  0.2616  0.2351
O  0.1816  0.0643  0.3873
O  0.0000  0.2751  0.1354
O  0.7306  0.0082  0.8657
O  0.0000  0.2259  0.5828
O  0.6816  0.4357  0.8873
Re  0.5000  0.5000  0.0000
O  0.6816  0.5643  0.1127
O  0.3184  0.4357  0.8873
Y  0.5000  0.5000  0.5000
Y  0.7675  0.2384  0.7351
O  0.5000  0.2249  0.6354
Y  0.0000  0.5000  0.5000
O  0.8184  0.9357  0.6127
O  0.3184  0.5643  0.1127
Y  0.2325  0.7616  0.2649
Y  0.5000  0.0000  0.5000
O  0.7306  0.9918  0.1343
Y  0.0000  0.0000  0.0000
Y  0.7325  0.7384  0.7649
O  0.2694  0.0082  0.8657
O  0.5000  0.7650  0.6359
O  0.5000  0.7751  0.3646
O  0.1816  0.9357  0.6127
Y  0.5000  0.0000  0.0000
O  0.0000  0.2650  0.8641
O  0.5000  0.2350  0.3641
O  0.0000  0.7249  0.8646
O  0.7694  0.5082  0.6343
O  0.0000  0.7350  0.1359
Y  0.2325  0.2384  0.7351
O  0.7694  0.4918  0.3657
O  0.2306  0.5082  0.6343
O  0.2306  0.4918  0.3657
O  0.0000  0.7741  0.4172
O  0.8184  0.0643  0.3873

The most stable of them is ii).

i) A plane-wave DFT calculation with meta-GGA SCAN was carried out for Sr2RhO4 at its PBEsol-relaxed geometry.

Output
DOS(E_F) in states/eV/f.u.: 2.855

Unit cell a=5.4050 b=5.4050 c=13.4488 alpha=101.59 beta=101.59 gamma=90.00
Each line ends with the local moment (μB).
Atoms (fractional coordinates):
O  0.6964  0.1964  0.0000  0.15
O  0.1964  0.3036  0.0000  0.15
O  0.1703  0.6703  0.3407  0.03
O  0.9203  0.9203  0.8407  0.03
Sr  0.9255  0.4255  0.8510  0.00
Rh  0.0000  0.0000  0.0000  0.59
Rh  0.5000  0.5000  0.0000  0.59
Rh  0.2500  0.7500  0.5000  0.59
Sr  0.0745  0.5745  0.1490  0.00
O  0.4203  0.4203  0.8407  0.03
O  0.6703  0.1703  0.3407  0.03
Rh  0.7500  0.2500  0.5000  0.59
O  0.8297  0.3297  0.6593  0.03
O  0.8036  0.6964  0.0000  0.15
O  0.4464  0.0536  0.5000  0.15
O  0.5536  0.5536  0.5000  0.15
O  0.0797  0.0797  0.1593  0.03
Sr  0.4255  0.9255  0.8510  0.00
O  0.5797  0.5797  0.1593  0.03
Sr  0.6755  0.6755  0.3510  0.00
Sr  0.1755  0.1755  0.3510  0.00
O  0.3297  0.8297  0.6593  0.03
Sr  0.8245  0.8245  0.6490  0.00
Sr  0.5745  0.0745  0.1490  0.00
Sr  0.3245  0.3245  0.6490  0.00
O  0.3036  0.8036  0.0000  0.15
O  0.9464  0.9464  0.5000  0.15
O  0.0536  0.4464  0.5000  0.15

ii) A plane-wave DFT calculation with meta-GGA SCAN was carried out for Sr2RhO4 at its PBEsol-relaxed geometry.

Output
DOS(E_F) in states/eV/f.u.: 1.835

Unit cell a=3.8709 b=3.8709 c=6.8470 alpha=106.42 beta=106.42 gamma=90.00
Each line ends with the local moment (μB).
Atoms (fractional coordinates):
Rh  0.0000  0.0000  0.0000  0.61
O  0.5000  0.0000  0.0000  0.16
Sr  0.6455  0.6455  0.2910  0.00
O  0.0000  0.5000  0.0000  0.16
O  0.8378  0.8378  0.6756  0.01
O  0.1622  0.1622  0.3244  0.01
Sr  0.3545  0.3545  0.7090  0.00

The most stable of them is i).